Computed, not measured: a relaxed Tb2PmTl4 crystal at the GGA-PBE level of DFT.

Lattice parameters (Å, degrees): 7.6308 7.1463 8.1127 90.00 104.07 90.00
Closest atoms and distances in Å follow each position.
Element x y z (fractional)
Tb: 0.1377 0.2500 0.0358  5 Tl 3.10-3.26
Tb: 0.2884 0.2500 0.5513  4 Tl 3.08-3.27
Tb: 0.7116 0.7500 0.4487  4 Tl 3.08-3.27
Tb: 0.8623 0.7500 0.9642  5 Tl 3.10-3.26
Pm: 0.2079 0.7500 0.3577  4 Tl 3.11-3.23
Pm: 0.7921 0.2500 0.6423  4 Tl 3.11-3.23
Tl: 0.0994 0.5450 0.7318  1 Tl 2.93, 1 Pm 3.11, 3 Tb 3.11-3.26
Tl: 0.0994 0.9550 0.7318  1 Tl 2.93, 1 Pm 3.11, 3 Tb 3.11-3.26
Tl: 0.4355 0.7500 0.0705  1 Tl 3.00, 1 Pm 3.23, 1 Tb 3.27
Tl: 0.4844 0.7500 0.7143  3 Tl 3.00-3.32, 2 Tb 3.08-3.10, 1 Pm 3.14
Tl: 0.5156 0.2500 0.2857  3 Tl 3.00-3.32, 2 Tb 3.08-3.10, 1 Pm 3.14
Tl: 0.5645 0.2500 0.9295  1 Tl 3.00, 1 Pm 3.23, 1 Tb 3.27
Tl: 0.9006 0.0450 0.2682  1 Tl 2.93, 1 Pm 3.11, 3 Tb 3.11-3.26
Tl: 0.9006 0.4550 0.2682  1 Tl 2.93, 1 Pm 3.11, 3 Tb 3.11-3.26

Output
The total DFT energy (no corrections) comes out at -48.9 eV per cell. As for the formation energy from the elements: -0.1388 eV/atom. The value obtained for the offset from the most stable computed form is 0.092 eV per atom. As for the density of states at the Fermi level: 11.09 states/eV/cell.